1.
# GaClF GGA-PBE relaxed
# ΔE to the lowest computed polymorph: 0 meV/atom
# Fermi-level density of states: 2.07 states/eV/cell
data_GaClF
_chemical_formula_sum 'Ga4 Cl4 F4'
_space_group_name_H-M_alt 'C 1 m 1'
_space_group_IT_number 8
_space_group_name_Hall 'C -2y'
_cell_length_a 14.4019
_cell_length_b 4.6829
_cell_length_c 4.7291
_cell_angle_alpha 90.00
_cell_angle_beta 108.85
_cell_angle_gamma 90.00
loop_
_atom_site_label
_atom_site_fract_x
_atom_site_fract_y
_atom_site_fract_z
Ga1 0.0000 0.0000 0.0000
Ga2 0.1910 0.0000 0.6878
Cl1 0.2300 0.5000 0.7773
Cl2 0.4611 0.0000 0.0128
F1 0.0485 0.0000 0.6502
F2 0.1425 0.0000 0.2427


2.
# GaClF3 GGA-PBE relaxed
# ΔE to the lowest computed polymorph: 0 meV/atom
data_GaClF3
_chemical_formula_sum 'Ga2 Cl2 F6'
_space_group_name_H-M_alt 'P 1 21/m 1'
_space_group_IT_number 11
_space_group_name_Hall '-P 2yb'
_cell_length_a 5.1406
_cell_length_b 6.0603
_cell_length_c 5.3059
_cell_angle_alpha 90.00
_cell_angle_beta 91.29
_cell_angle_gamma 90.00
loop_
_atom_site_label
_atom_site_fract_x
_atom_site_fract_y
_atom_site_fract_z
Ga1 0.0142 0.2500 0.0089
Cl1 0.2460 0.2500 0.6257
F1 0.0987 0.7500 0.6557
F2 0.2240 0.5159 0.0949


3.
# GaClF3 GGA-PBE relaxed
# ΔE to the lowest computed polymorph: 1125 meV/atom
# Fermi-level density of states: 1.39 states/eV/cell
data_GaClF3
_chemical_formula_sum 'Ga1 Cl1 F3'
_space_group_name_H-M_alt 'P m -3 m'
_space_group_IT_number 221
_space_group_name_Hall '-P 4 2 3'
_cell_length_a 4.3884
_cell_length_b 4.3884
_cell_length_c 4.3884
_cell_angle_alpha 90.00
_cell_angle_beta 90.00
_cell_angle_gamma 90.00
loop_
_atom_site_label
_atom_site_fract_x
_atom_site_fract_y
_atom_site_fract_z
Ga1 0.0000 0.0000 0.0000
Cl1 0.5000 0.5000 0.5000
F1 0.0000 0.5000 0.5000


4.
# Hf2GaClF GGA-PBE relaxed
# DFT total energy: -4.958 eV per atom
# Fermi-level density of states: 4.36 states/eV/cell
data_Hf2GaClF
_chemical_formula_sum 'Hf2 Ga1 Cl1 F1'
_space_group_name_H-M_alt 'P 4/m m m'
_space_group_IT_number 123
_space_group_name_Hall '-P 4 2'
_cell_length_a 4.7173
_cell_length_b 4.7173
_cell_length_c 4.9796
_cell_angle_alpha 90.00
_cell_angle_beta 90.00
_cell_angle_gamma 90.00
loop_
_atom_site_label
_atom_site_fract_x
_atom_site_fract_y
_atom_site_fract_z
Hf1 0.0000 0.5000 0.0000
Ga1 0.0000 0.0000 0.5000
Cl1 0.0000 0.0000 0.0000
F1 0.5000 0.5000 0.5000